1.
PBE PrYSi2, optimized geometry; formation energy without anion corrections = -17.93 kcal/mol of atoms; total magnetization = 0.0 μB/f.u.
1.0
4.138 0.000 -1.509
0.000 3.906 0.000
-0.213 0.000 5.840
Pr Y Si
1 1 2
Direct
0.441 0.500 0.421
0.721 0.000 0.981
0.158 0.500 0.854
0.011 0.000 0.562


2.
PBE Pr2Zn5Si, optimized geometry; formation energy without anion corrections = -10.04 kcal/mol of atoms; total magnetization = 0.0 μB/f.u.
1.0
-0.803 -4.377 -0.047
1.150 1.965 8.092
-8.667 1.582 0.847
Pr Zn Si
4 10 2
Direct
0.795 0.590 0.750
0.205 0.410 0.250
0.000 0.000 0.000
0.000 0.000 0.500
0.185 0.371 0.894
0.815 0.629 0.106
0.185 0.371 0.606
0.815 0.629 0.394
0.351 0.702 0.977
0.649 0.298 0.023
0.351 0.702 0.523
0.649 0.298 0.477
0.594 0.187 0.750
0.406 0.813 0.250
0.442 0.884 0.750
0.558 0.116 0.250


3.
PBE Pr2ZnSi3, optimized geometry; formation energy without anion corrections = -15.34 kcal/mol of atoms; total magnetization = 0.0 μB/f.u.
1.0
4.298 0.000 0.000
0.000 4.148 0.000
0.000 0.000 7.090
Pr Zn Si
2 1 3
Direct
0.000 0.500 0.994
0.000 0.000 0.506
0.500 0.500 0.330
0.500 0.000 0.835
0.500 0.000 0.167
0.500 0.500 0.667


4.
PBE Pr3Zn2Si3, optimized geometry; formation energy without anion corrections = -13.72 kcal/mol of atoms; total magnetization = 0.0 μB/f.u.
1.0
4.198 0.000 0.000
-2.099 5.572 0.000
0.000 0.000 15.433
Pr Zn Si
6 4 6
Direct
0.854 0.708 0.406
0.146 0.292 0.906
0.854 0.708 0.094
0.146 0.292 0.594
0.553 0.105 0.250
0.447 0.895 0.750
0.856 0.712 0.882
0.144 0.288 0.382
0.856 0.712 0.618
0.144 0.288 0.118
0.574 0.147 0.446
0.426 0.853 0.946
0.574 0.147 0.054
0.426 0.853 0.554
0.276 0.552 0.250
0.724 0.448 0.750


5.
PBE Pr3Zn3Si2, optimized geometry; formation energy without anion corrections = -11.93 kcal/mol of atoms; total magnetization = 0.0 μB/f.u.
1.0
-1.936 -2.410 -2.812
2.674 -3.437 4.210
-13.094 0.419 8.658
Pr Zn Si
6 6 4
Direct
0.853 0.706 0.409
0.147 0.294 0.909
0.853 0.706 0.091
0.147 0.294 0.591
0.562 0.123 0.250
0.438 0.877 0.750
0.576 0.152 0.446
0.424 0.848 0.946
0.576 0.152 0.054
0.424 0.848 0.554
0.284 0.568 0.250
0.716 0.432 0.750
0.849 0.698 0.883
0.151 0.302 0.383
0.849 0.698 0.617
0.151 0.302 0.117


6.
PBE Pr2ZnSi3, optimized geometry; formation energy without anion corrections = -15.75 kcal/mol of atoms; total magnetization = 0.0 μB/f.u.
1.0
4.051 0.000 -1.078
-0.309 4.082 -1.160
-0.126 -0.045 7.676
Pr Zn Si
2 1 3
Direct
0.128 0.128 0.256
0.871 0.371 0.741
0.460 0.960 0.921
0.708 0.708 0.416
0.541 0.541 0.083
0.292 0.792 0.583